[1]
# CaEr4Te6 (GGA-PBE, optimized geometry)
# Spin magnetization   0.00 μB/f.u.
# Formation energy (no corrections)   -1.369 eV per atom
data_CaEr4Te6
_chemical_formula_sum 'Ca4 Er16 Te24'
_symmetry_space_group_name_H-M 'C m c m'
_symmetry_Int_Tables_number 63
_symmetry_space_group_name_Hall '-C 2c 2'
_cell_length_a 4.307
_cell_length_b 14.217
_cell_length_c 22.327
_cell_angle_alpha 90.00
_cell_angle_beta 90.00
_cell_angle_gamma 90.00
loop_
_atom_site_label
_atom_site_fract_x
_atom_site_fract_y
_atom_site_fract_z
_atom_site_occupancy
Ca1 0.000 0.158 0.250 1
Er1 0.000 0.089 0.628 1
Er2 0.000 0.359 0.537 1
Te1 0.000 0.000 0.000 1
Te2 0.000 0.180 0.750 1
Te3 0.000 0.269 0.089 1
Te4 0.000 0.449 0.662 1

=====

[2]
# Dy6TeRh3 (GGA-PBE, optimized geometry)
# Spin magnetization   0.00 μB/f.u.
# Formation energy (no corrections)   -0.797 eV per atom
data_Dy6TeRh3
_chemical_formula_sum 'Dy12 Te2 Rh6'
_symmetry_space_group_name_H-M 'P 1 21/m 1'
_symmetry_Int_Tables_number 11
_cell_length_a 11.702
_cell_length_b 4.069
_cell_length_c 11.789
_cell_angle_alpha 90.00
_cell_angle_beta 107.81
_cell_angle_gamma 90.00
loop_
_symmetry_equiv_pos_as_xyz
'x,y,z'
'-x,-y,-z'
'-x,y+1/2,-z'
'x,-y+1/2,z'
loop_
_atom_site_label
_atom_site_fract_x
_atom_site_fract_y
_atom_site_fract_z
_atom_site_occupancy
Dy1 0.036 0.250 0.404 1
Dy2 0.118 0.250 0.973 1
Dy3 0.192 0.750 0.267 1
Dy4 0.251 0.750 0.783 1
Dy5 0.353 0.250 0.557 1
Dy6 0.433 0.750 0.100 1
Te1 0.430 0.250 0.321 1
Rh1 0.019 0.250 0.169 1
Rh2 0.185 0.750 0.517 1
Rh3 0.344 0.250 0.935 1

=====

[3]
# YMn2Cr (GGA-PBE, optimized geometry)
# DFT formation energy   21.4 kJ/mol of atoms
# Spin magnetization   3.49 μB/f.u.
data_YMn2Cr
_chemical_formula_sum 'Y1 Mn2 Cr1'
_symmetry_space_group_name_H-M 'P 4/m m m'
_symmetry_Int_Tables_number 123
_symmetry_space_group_name_Hall '-P 4 2'
_cell_length_a 3.028
_cell_length_b 3.028
_cell_length_c 7.129
_cell_angle_alpha 90.00
_cell_angle_beta 90.00
_cell_angle_gamma 90.00
loop_
_atom_site_label
_atom_site_fract_x
_atom_site_fract_y
_atom_site_fract_z
_atom_site_occupancy
Y1 0.000 0.000 0.000 1
Mn1 0.500 0.500 0.312 1
Cr1 0.000 0.000 0.500 1

=====

[4]
# Sr8TlBi5 (GGA-PBE, optimized geometry)
# DFT formation energy   -76.6 kJ/mol of atoms
# Spin magnetization   1.73 μB/f.u.
data_Sr8TlBi5
_chemical_formula_sum 'Sr16 Tl2 Bi10'
_symmetry_space_group_name_H-M 'I -4'
_symmetry_Int_Tables_number 82
_cell_length_a 10.280
_cell_length_b 10.280
_cell_length_c 10.212
_cell_angle_alpha 90.00
_cell_angle_beta 90.00
_cell_angle_gamma 90.00
loop_
_symmetry_equiv_pos_as_xyz
'x,y,z'
'y,-x,-z'
'-x,-y,z'
'-y,x,-z'
'x+1/2,y+1/2,z+1/2'
'y+1/2,-x+1/2,-z+1/2'
'-x+1/2,-y+1/2,z+1/2'
'-y+1/2,x+1/2,-z+1/2'
loop_
_atom_site_label
_atom_site_fract_x
_atom_site_fract_y
_atom_site_fract_z
_atom_site_occupancy
Sr1 0.074 0.167 0.300 1
Sr2 0.075 0.315 0.935 1
Tl1 0.000 0.500 0.250 1
Bi1 0.000 0.000 0.000 1
Bi2 0.132 0.249 0.617 1

=====

[5]
# TeOs2W (GGA-PBE, optimized geometry)
# Spin magnetization   0.00 μB/f.u.
# Formation energy (no corrections)   0.606 eV per atom
data_TeOs2W
_chemical_formula_sum 'Te3 Os6 W3'
_symmetry_space_group_name_H-M 'R -3 m'
_symmetry_Int_Tables_number 166
_symmetry_space_group_name_Hall '-R 3 2"'
_cell_length_a 2.9558
_cell_length_b 2.9558
_cell_length_c 26.5384
_cell_angle_alpha 90.00
_cell_angle_beta 90.00
_cell_angle_gamma 120.00
loop_
_atom_site_label
_atom_site_fract_x
_atom_site_fract_y
_atom_site_fract_z
_atom_site_occupancy
Te1 0.0000 0.0000 0.0000 1
Os1 0.0000 0.0000 0.2468 1
W1 0.0000 0.0000 0.5000 1

=====

[6]
# LiLaP2 (GGA-PBE, optimized geometry)
# DFT formation energy   -72.4 kJ/mol of atoms
# Spin magnetization   0.00 μB/f.u.
data_LiLaP2
_chemical_formula_sum 'Li2 La2 P4'
_symmetry_space_group_name_H-M 'C m m m'
_symmetry_Int_Tables_number 65
_symmetry_space_group_name_Hall '-C 2 2'
_cell_length_a 4.753
_cell_length_b 5.452
_cell_length_c 5.956
_cell_angle_alpha 90.00
_cell_angle_beta 90.00
_cell_angle_gamma 90.00
loop_
_atom_site_label
_atom_site_fract_x
_atom_site_fract_y
_atom_site_fract_z
_atom_site_occupancy
Li1 0.000 0.000 0.000 1
La1 0.000 0.000 0.500 1
P1 0.000 0.500 0.188 1

=====

[7]
# CsMgVPt2 (GGA-PBE, optimized geometry)
# DFT formation energy   180.5 kJ/mol of atoms
# Spin magnetization   3.54 μB/f.u.
data_CsMgVPt2
_chemical_formula_sum 'Cs1 Mg1 V1 Pt2'
_symmetry_space_group_name_H-M 'P 4/m m m'
_symmetry_Int_Tables_number 123
_symmetry_space_group_name_Hall '-P 4 2'
_cell_length_a 5.270
_cell_length_b 5.270
_cell_length_c 5.100
_cell_angle_alpha 90.00
_cell_angle_beta 90.00
_cell_angle_gamma 90.00
loop_
_atom_site_label
_atom_site_fract_x
_atom_site_fract_y
_atom_site_fract_z
_atom_site_occupancy
Cs1 0.000 0.000 0.000 1
Mg1 0.500 0.500 0.500 1
V1 0.000 0.000 0.500 1
Pt1 0.000 0.500 0.000 1

=====

[8]
# SrErSe2F (GGA-PBE, optimized geometry)
# Spin magnetization   0.00 μB/f.u.
# Formation energy (no corrections)   -2.476 eV per atom
data_SrErSe2F
_chemical_formula_sum 'Sr2 Er2 Se4 F2'
_symmetry_space_group_name_H-M 'P 4/n m m'
_symmetry_Int_Tables_number 129
_cell_length_a 4.093
_cell_length_b 4.093
_cell_length_c 14.550
_cell_angle_alpha 90.00
_cell_angle_beta 90.00
_cell_angle_gamma 90.00
loop_
_symmetry_equiv_pos_as_xyz
'x,y,z'
'-x,-y,-z'
'-y+1/2,x,z'
'y+1/2,-x,-z'
'-x+1/2,-y+1/2,z'
'x+1/2,y+1/2,-z'
'y,-x+1/2,z'
'-y,x+1/2,-z'
'x+1/2,-y,-z'
'-x+1/2,y,z'
'-y,-x,-z'
'y,x,z'
'-x,y+1/2,-z'
'x,-y+1/2,z'
'y+1/2,x+1/2,-z'
'-y+1/2,-x+1/2,z'
loop_
_atom_site_label
_atom_site_fract_x
_atom_site_fract_y
_atom_site_fract_z
_atom_site_occupancy
Sr1 0.250 0.250 0.099 1
Er1 0.250 0.250 0.620 1
Se1 0.250 0.250 0.410 1
Se2 0.250 0.250 0.799 1
F1 0.250 0.750 0.000 1

=====

Copy entry 1 word for word.
# CaEr4Te6 (GGA-PBE, optimized geometry)
# Spin magnetization   0.00 μB/f.u.
# Formation energy (no corrections)   -1.369 eV per atom
data_CaEr4Te6
_chemical_formula_sum 'Ca4 Er16 Te24'
_symmetry_space_group_name_H-M 'C m c m'
_symmetry_Int_Tables_number 63
_symmetry_space_group_name_Hall '-C 2c 2'
_cell_length_a 4.307
_cell_length_b 14.217
_cell_length_c 22.327
_cell_angle_alpha 90.00
_cell_angle_beta 90.00
_cell_angle_gamma 90.00
loop_
_atom_site_label
_atom_site_fract_x
_atom_site_fract_y
_atom_site_fract_z
_atom_site_occupancy
Ca1 0.000 0.158 0.250 1
Er1 0.000 0.089 0.628 1
Er2 0.000 0.359 0.537 1
Te1 0.000 0.000 0.000 1
Te2 0.000 0.180 0.750 1
Te3 0.000 0.269 0.089 1
Te4 0.000 0.449 0.662 1